A plane-wave DFT calculation with GGA-PBEsol was carried out for a geometry-optimized Ca2NiH2 structure.

Summary:
As for the calculated total energy: -3.61 eV/atom. The value obtained for the magnetic moment is 0.00 Bohr magnetons per cell.

Lattice parameters (Å, degrees): 3.543 3.543 6.624 105.51 105.51 90.00
Fractional positions:
Ca: 0.359 0.359 0.718
H: 0.750 0.250 0.500
H: 0.250 0.750 0.500
Ca: 0.641 0.641 0.282
Ni: 0.000 0.000 0.000